Material: Sn4P2O9
Method: DFT, meta-GGA SCAN
State: PBEsol geometry

- volume (Å³ per cell) = 880.0
- final energy (eV per formula unit) = -248.029
- offset from the most stable computed form (eV per atom) = 0.0794

Lattice parameters (Å, degrees): 6.7857 10.2411 12.6626 90.00 90.00 90.00
With the nearest neighbours (Å) after each atom.
Sites, in units of the cell vectors:
Sn 0.2500 0.4861 0.1159  2 O 2.16-2.28
Sn 0.7500 0.3026 0.3838  1 O 2.08
Sn 0.9836 0.3608 0.6625  4 O 2.19-2.40
Sn 0.5164 0.3608 0.6625  4 O 2.19-2.40
Sn 0.4836 0.1392 0.1625  4 O 2.19-2.40
Sn 0.0164 0.1392 0.1625  4 O 2.19-2.40
Sn 0.2500 0.1974 0.8838  1 O 2.08
Sn 0.7500 0.0139 0.6159  2 O 2.16-2.28
Sn 0.2500 0.9861 0.3841  2 O 2.16-2.28
Sn 0.7500 0.8026 0.1162  1 O 2.08
Sn 0.9836 0.8608 0.8375  4 O 2.19-2.40
Sn 0.5164 0.8608 0.8375  4 O 2.19-2.40
Sn 0.4836 0.6392 0.3375  4 O 2.19-2.40
Sn 0.0164 0.6392 0.3375  4 O 2.19-2.40
Sn 0.2500 0.6974 0.6162  1 O 2.08
Sn 0.7500 0.5139 0.8841  2 O 2.16-2.28
P 0.7500 0.4372 0.1359  4 O 1.54-1.57
P 0.2500 0.3518 0.4350  4 O 1.52-1.60
P 0.7500 0.1482 0.9350  4 O 1.52-1.60
P 0.2500 0.0628 0.6359  4 O 1.54-1.57
P 0.7500 0.9372 0.3641  4 O 1.54-1.57
P 0.2500 0.8518 0.0650  4 O 1.52-1.60
P 0.7500 0.6482 0.5650  4 O 1.52-1.60
P 0.2500 0.5628 0.8641  4 O 1.54-1.57
O 0.0607 0.4159 0.3899  1 P 1.55
O 0.4393 0.4159 0.3899  1 P 1.55
O 0.2500 0.3845 0.5586  1 P 1.60
O 0.2500 0.5054 0.7516  1 P 1.54
O 0.5592 0.3565 0.1182  1 P 1.55
O 0.9408 0.3565 0.1182  1 P 1.55
O 0.2500 0.4494 0.9477  1 P 1.57
O 0.7500 0.2947 0.9148  1 P 1.52
O 0.7500 0.3264 0.5470  3 Sn 2.08-2.19
O 0.2500 0.1736 0.0470  3 Sn 2.08-2.19
O 0.2500 0.2053 0.4148  1 P 1.52
O 0.7500 0.0506 0.4477  1 P 1.57
O 0.0592 0.1435 0.6182  1 P 1.55
O 0.4408 0.1435 0.6182  1 P 1.55
O 0.7500 0.9946 0.2516  1 P 1.54
O 0.7500 0.1155 0.0586  1 P 1.60
O 0.5607 0.0841 0.8899  1 P 1.55
O 0.9393 0.0841 0.8899  1 P 1.55
O 0.0607 0.9159 0.1101  1 P 1.55
O 0.4393 0.9159 0.1101  1 P 1.55
O 0.2500 0.8845 0.9414  1 P 1.60
O 0.2500 0.0054 0.7484  1 P 1.54
O 0.5592 0.8565 0.3818  1 P 1.55
O 0.9408 0.8565 0.3818  1 P 1.55
O 0.2500 0.9494 0.5523  1 P 1.57
O 0.7500 0.7947 0.5852  1 P 1.52
O 0.7500 0.8264 0.9530  3 Sn 2.08-2.19
O 0.2500 0.6736 0.4530  3 Sn 2.08-2.19
O 0.2500 0.7053 0.0852  1 P 1.52
O 0.7500 0.5506 0.0523  1 P 1.57
O 0.0592 0.6435 0.8818  1 P 1.55
O 0.4408 0.6435 0.8818  1 P 1.55
O 0.7500 0.4946 0.2484  1 P 1.54
O 0.7500 0.6155 0.4414  1 P 1.60
O 0.5607 0.5841 0.6101  1 P 1.55
O 0.9393 0.5841 0.6101  1 P 1.55


Material: SrSnP2O
Method: DFT, meta-GGA SCAN
State: PBEsol geometry

- volume (Å³ per cell) = 126.6
- final energy (eV per formula unit) = -82.308

Lattice parameters (Å, degrees): 4.3424 5.3998 5.3998 90.00 90.00 90.00
With the nearest neighbours (Å) after each atom.
Sites, in units of the cell vectors:
Sr 0.0000 0.0000 0.0000  2 O 2.17
Sn 0.5000 0.5000 0.5000  8 P 3.46, 4 O 3.82
O 0.5000 0.0000 0.0000  2 Sr 2.17
P 0.0000 0.0000 0.5000  2 Sr 2.70
P 0.0000 0.5000 0.0000  2 Sr 2.70


Material: TaSnPO2
Method: DFT, meta-GGA SCAN
State: PBEsol geometry

- volume (Å³ per cell) = 79.9
- final energy (eV per formula unit) = -125.832

Lattice parameters (Å, degrees): 3.8363 3.8363 5.4276 90.00 90.00 90.00
With the nearest neighbours (Å) after each atom.
Sites, in units of the cell vectors:
P 0.0000 0.0000 0.5000  4 Ta 2.71, 2 Sn 2.71
Sn 0.0000 0.0000 0.0000  4 O 1.92
O 0.0000 0.5000 0.0000  2 Sn 1.92
O 0.5000 0.0000 0.0000  2 Sn 1.92
Ta 0.5000 0.5000 0.5000  4 P 2.71


Material: Ti2SnP3O12
Method: DFT, meta-GGA SCAN
State: PBEsol geometry

- volume (Å³ per cell) = 477.1
- final energy (eV per formula unit) = -221.286

Lattice parameters (Å, degrees): 8.5878 8.5878 8.9656 61.38 61.38 60.00
With the nearest neighbours (Å) after each atom.
Sites, in units of the cell vectors:
Ti 0.1484 0.1484 0.5549  6 O 1.92-2.04
Ti 0.3516 0.3516 0.9451  6 O 1.92-2.04
Ti 0.6484 0.6484 0.0549  6 O 1.92-2.04
Ti 0.8516 0.8516 0.4451  6 O 1.92-2.04
Sn 0.0000 0.0000 0.0000  6 O 2.50
Sn 0.5000 0.5000 0.5000  6 O 2.50
P 0.4615 0.0385 0.7500  4 O 1.54-1.55
P 0.7500 0.4615 0.7500  4 O 1.54-1.55
P 0.0385 0.7500 0.7500  4 O 1.54-1.55
P 0.9615 0.2500 0.2500  4 O 1.54-1.55
P 0.2500 0.5385 0.2500  4 O 1.54-1.55
P 0.5385 0.9615 0.2500  4 O 1.54-1.55
O 0.5075 0.1281 0.0800  1 P 1.54
O 0.1281 0.2844 0.0800  1 P 1.54
O 0.2778 0.0631 0.7352  1 P 1.55
O 0.2844 0.5075 0.0800  1 P 1.54
O 0.6281 0.0075 0.5800  1 P 1.54
O 0.4369 0.2222 0.7648  1 P 1.55
O 0.9240 0.2778 0.7352  1 P 1.55
O 0.5760 0.4369 0.7648  1 P 1.55
O 0.9925 0.2156 0.4200  1 P 1.54
O 0.2222 0.5760 0.7648  1 P 1.55
O 0.9369 0.0760 0.2648  1 P 1.55
O 0.2156 0.3719 0.4200  1 P 1.54
O 0.7844 0.6281 0.5800  1 P 1.54
O 0.0631 0.9240 0.7352  1 P 1.55
O 0.7778 0.4240 0.2352  1 P 1.55
O 0.0075 0.7844 0.5800  1 P 1.54
O 0.4240 0.5631 0.2352  1 P 1.55
O 0.0760 0.7222 0.2648  1 P 1.55
O 0.5631 0.7778 0.2352  1 P 1.55
O 0.3719 0.9925 0.4200  1 P 1.54
O 0.7156 0.4925 0.9200  1 P 1.54
O 0.7222 0.9369 0.2648  1 P 1.55
O 0.8719 0.7156 0.9200  1 P 1.54
O 0.4925 0.8719 0.9200  1 P 1.54